[1]
This record from the Alexandria database describes a geometry-optimized Rb2Na4Tl3 structure. The functional is GGA-PBE.

Properties
- space group = No. 69
- DFT total energy (Ry per atom) = -0.1206
- energy relative to the elements (meV/atom) = -51

The structure in POSCAR format:
```
Rb2Na4Tl3
1.0
6.2868 0.0000 2.3468
3.1434 6.0687 1.1734
0.1088 0.0000 9.3027
Rb Na Tl
2 4 3
direct
0.6186 0.0000 0.7628
0.3814 0.0000 0.2372
0.0050 0.6640 0.3260
0.6690 0.3360 0.3260
0.9950 0.3360 0.6740
0.3310 0.6640 0.6740
0.0000 0.5000 0.0000
0.0000 0.0000 0.0000
0.5000 0.5000 0.0000
```

[2]
This record from the Alexandria database describes a geometry-optimized Na2HI structure. The functional is GGA-PBE.

Properties
- polymorph energy (0 for the lowest one) (meV/atom) = 310
- space group = No. 123
- DFT total energy (Ry per atom) = -0.1685

The structure in POSCAR format:
```
Na2HI
1.0
3.7503 0.0000 0.0000
0.0000 3.7503 0.0000
0.0000 0.0000 7.2731
I Na H
1 2 1
direct
0.5000 0.5000 0.5000
0.0000 0.0000 0.7763
0.0000 0.0000 0.2237
0.5000 0.5000 0.0000
```

[3]
This record from the Alexandria database describes a geometry-optimized SrYSi2 structure. The functional is GGA-PBE.

Properties
- polymorph energy (0 for the lowest one) (meV/atom) = 1
- space group = No. 44
- DFT total energy (Ry per atom) = -0.3809

The structure in POSCAR format:
```
SrYSi2
1.0
6.5694 -0.0029 0.0013
3.9172 5.2738 -0.0013
-5.0211 -3.0776 2.9111
Si Sr Y
2 1 1
direct
0.9267 0.9267 0.0000
0.7898 0.2898 0.5000
0.5230 0.5230 0.0000
0.2605 0.7605 0.5000
```

[4]
This record from the Alexandria database describes a geometry-optimized La2Y7 structure. The functional is GGA-PBE.

Properties
- space group = No. 162
- DFT total energy (Ry per atom) = -0.4484
- energy relative to the elements (meV/atom) = 22

The structure in POSCAR format:
```
La2Y7
1.0
-5.7580 -2.0958 -1.2998
5.0098 -2.9863 -2.2848
0.2356 -5.1087 7.1936
La Y
2 7
direct
0.3333 0.6667 0.0000
0.6667 0.3333 0.0000
0.0000 0.0000 0.0000
0.6677 0.0000 0.3373
0.0000 0.6677 0.3373
0.3323 0.3323 0.3373
0.0000 0.3323 0.6627
0.3323 0.0000 0.6627
0.6677 0.6677 0.6627
```

[5]
This record from the Alexandria database describes a geometry-optimized Ho3Te2Se structure. The functional is GGA-PBE.

Properties
- polymorph energy (0 for the lowest one) (meV/atom) = 15
- space group = No. 71
- DFT total energy (Ry per atom) = -0.3907

The structure in POSCAR format:
```
Ho3Te2Se
1.0
-2.3092 -3.4881 -0.5471
4.9862 -3.2027 -0.6268
-1.2265 2.2683 6.9816
Ho Te Se
3 2 1
direct
0.8580 0.3580 0.2159
0.1420 0.6420 0.7841
0.5000 0.0000 0.5000
0.8247 0.8247 0.1495
0.1753 0.1753 0.8505
0.5000 0.5000 0.5000
```

[6]
This record from the Alexandria database describes a geometry-optimized GdHoCoRu structure. The functional is GGA-PBE.

Properties
- space group = No. 216
- DFT total energy (Ry per atom) = -0.6602
- energy relative to the elements (meV/atom) = -222

The structure in POSCAR format:
```
GdHoCoRu
1.0
4.7781 0.0000 0.0000
2.3891 4.1380 0.0000
2.3891 1.3793 3.9013
Ru Gd Co Ho
1 1 1 1
direct
0.7500 0.7500 0.7500
0.0000 0.0000 0.0000
0.2500 0.2500 0.2500
0.5000 0.5000 0.5000
```

[7]
This record from the Alexandria database describes a geometry-optimized K2ThTc3O12 structure. The functional is GGA-PBE.

Properties
- space group = No. 166
- DFT total energy (Ry per atom) = -0.5390

The structure in POSCAR format:
```
K2ThTc3O12
1.0
6.7374 -0.4368 -0.3098
2.9474 6.0741 -0.3098
2.9474 1.7157 5.8350
K Th Tc O
2 1 3 12
direct
0.6045 0.6045 0.6045
0.3955 0.3955 0.3955
0.0000 0.0000 0.0000
0.5000 0.0000 0.0000
0.0000 0.5000 0.0000
0.0000 0.0000 0.5000
0.2715 0.2715 0.9071
0.8689 0.8689 0.4087
0.4087 0.8689 0.8689
0.9071 0.2715 0.2715
0.8689 0.4087 0.8689
0.2715 0.9071 0.2715
0.7285 0.7285 0.0929
0.1311 0.1311 0.5913
0.5913 0.1311 0.1311
0.0929 0.7285 0.7285
0.1311 0.5913 0.1311
0.7285 0.0929 0.7285
```

[8]
This record from the Alexandria database describes a geometry-optimized CrTc2Ni structure. The functional is GGA-PBE.

Properties
- polymorph energy (0 for the lowest one) (meV/atom) = 645
- space group = No. 122
- DFT total energy (Ry per atom) = -0.6151
- energy relative to the elements (meV/atom) = 666

The structure in POSCAR format:
```
CrTc2Ni
1.0
3.6348 0.0000 0.0000
0.0000 3.6348 0.0000
1.8174 1.8174 8.5949
Ni Tc Cr
2 4 2
direct
0.0000 0.0000 0.0000
0.7500 0.2500 0.5000
0.6372 0.1250 0.2500
0.1128 0.6250 0.2500
0.3750 0.3628 0.7500
0.8750 0.8872 0.7500
0.5000 0.5000 0.0000
0.2500 0.7500 0.5000
```

[9]
This record from the Alexandria database describes a geometry-optimized BeIOF2 structure. The functional is GGA-PBE.

Properties
- polymorph energy (0 for the lowest one) (meV/atom) = 0
- space group = No. 123
- DFT total energy (Ry per atom) = -0.3143

The structure in POSCAR format:
```
BeIOF2
1.0
-0.7324 0.6736 3.1822
1.8527 -2.5946 0.9756
5.3395 3.9597 0.3908
I Be O F
1 1 1 2
direct
0.5000 0.5000 0.5000
0.0000 0.0000 0.0000
0.0000 0.0000 0.5000
0.0000 0.5000 0.0000
0.5000 0.0000 0.0000
```

[10]
This record from the Alexandria database describes a geometry-optimized PmGaAg2 structure. The functional is GGA-PBE.

Properties
- space group = No. 123
- DFT total energy (Ry per atom) = -0.2613
- energy relative to the elements (meV/atom) = -186

The structure in POSCAR format:
```
PmGaAg2
1.0
4.4177 0.0000 0.0000
0.0000 4.4720 0.0000
0.0000 0.0000 4.4720
Ga Ag Pm
1 2 1
direct
0.5000 0.0000 0.0000
0.0000 0.0000 0.5000
0.0000 0.5000 0.0000
0.5000 0.5000 0.5000
```

[11]
This record from the Alexandria database describes a geometry-optimized NaPrCd14 structure. The functional is GGA-PBE.

Properties
- space group = No. 123
- DFT total energy (Ry per atom) = -0.0934
- energy relative to the elements (meV/atom) = -88

The structure in POSCAR format:
```
NaPrCd14
1.0
6.6254 -0.0140 0.0000
0.0142 6.6254 0.0000
0.0000 0.0000 8.6626
Na Pr Cd
1 1 14
direct
0.3750 0.3750 0.5000
0.8750 0.8750 0.5000
0.8750 0.8750 0.0000
0.3750 0.3750 0.0000
0.8750 0.3750 0.5000
0.8750 0.3750 0.0000
0.3750 0.8750 0.5000
0.3750 0.8750 0.0000
0.6204 0.1296 0.2386
0.6204 0.1296 0.7614
0.1296 0.6204 0.2386
0.1296 0.6204 0.7614
0.6204 0.6204 0.2387
0.6204 0.6204 0.7613
0.1296 0.1296 0.2387
0.1296 0.1296 0.7613
```

[12]
This record from the Alexandria database describes a geometry-optimized Cs2TaI structure. The functional is GGA-PBE.

Properties
- space group = No. 225
- DFT total energy (Ry per atom) = -0.2154

The structure in POSCAR format:
```
Cs2TaI
1.0
0.0000 4.6678 4.6678
4.6678 0.0000 4.6678
4.6678 4.6678 0.0000
Cs I Ta
2 1 1
direct
0.2500 0.2500 0.2500
0.7500 0.7500 0.7500
0.0000 0.0000 0.0000
0.5000 0.5000 0.5000
```